No. 1
A plane-wave DFT calculation with GGA-PBE was carried out for Th2AlGa after structural relaxation.

## Properties
E_form: -0.427 eV per atom
M_tot: 0.00 μB per formula unit
Space group: No. 11

a b c (Å): 4.1358 6.1109 8.8898
angles (deg): 111.29 90.00 90.00
Closest atoms and distances in Å follow each position.
Fractional positions:
Th 0.7500 0.2117 0.4258  3 Ga 3.14-3.32, 4 Al 3.17-3.30
Th 0.2500 0.7883 0.5742  3 Ga 3.14-3.32, 4 Al 3.17-3.30
Th 0.2500 0.7911 0.0703  4 Ga 3.13-3.33, 3 Al 3.16-3.30
Th 0.7500 0.2089 0.9297  4 Ga 3.13-3.33, 3 Al 3.16-3.30
Al 0.7500 0.6422 0.2846  2 Ga 2.62
Al 0.2500 0.3578 0.7154  2 Ga 2.62
Ga 0.2500 0.3584 0.2139  2 Al 2.62
Ga 0.7500 0.6416 0.7861  2 Al 2.62

***

No. 2
A plane-wave DFT calculation with GGA-PBE was carried out for Th4AlGa after structural relaxation.

## Properties
E_form: -0.293 eV per atom
M_tot: 0.00 μB per formula unit
Space group: No. 124

a b c (Å): 5.8081 7.6017 7.6017
angles (deg): 90.00 90.00 90.00
Closest atoms and distances in Å follow each position.
Fractional positions:
Th 0.0000 0.1565 0.6590  2 Ga 3.20, 2 Al 3.22, 3 Th 3.39-3.52
Th 0.0000 0.8435 0.3410  2 Ga 3.20, 2 Al 3.22, 3 Th 3.39-3.52
Th 0.0000 0.3410 0.1565  2 Ga 3.20, 2 Al 3.22, 3 Th 3.39-3.52
Th 0.0000 0.6590 0.8435  2 Ga 3.20, 2 Al 3.22, 3 Th 3.39-3.52
Th 0.5000 0.8435 0.6590  2 Ga 3.20, 2 Al 3.22, 3 Th 3.39-3.52
Th 0.5000 0.1565 0.3410  2 Ga 3.20, 2 Al 3.22, 3 Th 3.39-3.52
Th 0.5000 0.6590 0.1565  2 Ga 3.20, 2 Al 3.22, 3 Th 3.39-3.52
Th 0.5000 0.3410 0.8435  2 Ga 3.20, 2 Al 3.22, 3 Th 3.39-3.52
Al 0.2500 0.5000 0.5000  2 Al 2.90, 8 Th 3.22
Al 0.7500 0.5000 0.5000  2 Al 2.90, 8 Th 3.22
Ga 0.2500 0.0000 0.0000  2 Ga 2.90, 8 Th 3.20
Ga 0.7500 0.0000 0.0000  2 Ga 2.90, 8 Th 3.20

***

No. 3
A plane-wave DFT calculation with GGA-PBE was carried out for Th4AlGa after structural relaxation.

## Properties
E_form: -0.183 eV per atom
M_tot: 0.00 μB per formula unit
Space group: No. 140

a b c (Å): 7.4703 7.4703 8.0951
angles (deg): 117.48 117.48 90.00
Closest atoms and distances in Å follow each position.
Fractional positions:
Th 0.4769 0.9769 0.2672  2 Ga 3.16, 2 Al 3.26, 3 Th 3.28-3.47
Th 0.9769 0.7902 0.2672  2 Ga 3.16, 2 Al 3.26, 3 Th 3.28-3.47
Th 0.2902 0.4769 0.2672  2 Ga 3.16, 2 Al 3.26, 3 Th 3.28-3.47
Th 0.7098 0.5231 0.7328  2 Ga 3.16, 2 Al 3.26, 3 Th 3.28-3.47
Th 0.0231 0.2098 0.7328  2 Ga 3.16, 2 Al 3.26, 3 Th 3.28-3.47
Th 0.5231 0.0231 0.7328  2 Ga 3.16, 2 Al 3.26, 3 Th 3.28-3.47
Th 0.2098 0.7098 0.7328  2 Ga 3.16, 2 Al 3.26, 3 Th 3.28-3.47
Th 0.7902 0.2902 0.2672  2 Ga 3.16, 2 Al 3.26, 3 Th 3.28-3.47
Al 0.5000 0.5000 0.0000  2 Ga 3.07, 8 Th 3.26
Al 0.0000 0.0000 0.0000  2 Ga 3.07, 8 Th 3.26
Ga 0.2500 0.2500 0.5000  2 Al 3.07, 8 Th 3.16
Ga 0.7500 0.7500 0.5000  2 Al 3.07, 8 Th 3.16

***

No. 4
A plane-wave DFT calculation with GGA-PBE was carried out for ThAlGa after structural relaxation.

## Properties
E_form: -0.137 eV per atom
M_tot: 0.00 μB per formula unit
Space group: No. 69

a b c (Å): 4.7436 4.4238 8.8627
angles (deg): 81.75 74.48 57.58
Closest atoms and distances in Å follow each position.
Fractional positions:
Ga 0.7500 0.5000 0.5000  2 Ga 2.37
Ga 0.2500 0.5000 0.5000  2 Ga 2.37
Al 0.8294 0.3412 0.0000  3 Al 2.55-2.65
Al 0.1706 0.6588 0.0000  3 Al 2.55-2.65
Th 0.6189 0.0000 0.7621  4 Ga 3.15, 6 Al 3.19-3.37
Th 0.3811 0.0000 0.2379  4 Ga 3.15, 6 Al 3.19-3.37

***

No. 5
A plane-wave DFT calculation with GGA-PBE was carried out for Th7Al2Ga2 after structural relaxation.

## Properties
E_form: 0.031 eV per atom
M_tot: 0.00 μB per formula unit
Space group: No. 65

a b c (Å): 6.8431 7.3210 6.8431
angles (deg): 89.99 108.06 90.01
Closest atoms and distances in Å follow each position.
Fractional positions:
Th 0.0000 0.2890 0.5000  2 Ga 2.94, 1 Th 3.09, 2 Al 3.25
Th 0.5000 0.7110 0.0000  2 Ga 2.94, 1 Th 3.09, 2 Al 3.25
Th 0.0000 0.7110 0.5000  2 Ga 2.94, 1 Th 3.09, 2 Al 3.25
Th 0.5000 0.2890 0.0000  2 Ga 2.94, 1 Th 3.09, 2 Al 3.25
Th 0.0000 0.0000 0.0000  2 Ga 3.11
Th 0.5000 0.7395 0.5000  2 Ga 3.08, 2 Al 3.23, 4 Th 3.43
Th 0.5000 0.2605 0.5000  2 Ga 3.08, 2 Al 3.23, 4 Th 3.43
Al 0.8378 0.5000 0.8378  1 Al 2.61
Al 0.1622 0.5000 0.1622  1 Al 2.61
Ga 0.7189 0.0000 0.2811  7 Th 2.94-3.11
Ga 0.2811 0.0000 0.7189  7 Th 2.94-3.11

***

No. 6
A plane-wave DFT calculation with GGA-PBE was carried out for Th2AlGa after structural relaxation.

## Properties
E_form: -0.267 eV per atom
M_tot: 0.00 μB per formula unit
Space group: No. 225

a b c (Å): 5.2538 5.2538 5.2538
angles (deg): 60.00 60.00 60.00
Closest atoms and distances in Å follow each position.
Fractional positions:
Ga 0.5000 0.5000 0.5000  8 Th 3.22
Th 0.2500 0.2500 0.2500  4 Ga 3.22, 4 Al 3.22
Th 0.7500 0.7500 0.7500  4 Al 3.22, 4 Ga 3.22
Al 0.0000 0.0000 0.0000  8 Th 3.22

***

No. 7
A plane-wave DFT calculation with GGA-PBE was carried out for ThAl2Ga after structural relaxation.

## Properties
E_form: -0.358 eV per atom
M_tot: 0.00 μB per formula unit
Space group: No. 123

a b c (Å): 4.4595 4.4110 4.4110
angles (deg): 90.00 90.00 90.00
Closest atoms and distances in Å follow each position.
Fractional positions:
Ga 0.5000 0.5000 0.5000  4 Th 3.12, 8 Al 3.14
Th 0.5000 0.0000 0.0000  4 Ga 3.12, 8 Al 3.14
Al 0.0000 0.0000 0.5000  4 Al 3.12, 4 Th 3.14, 4 Ga 3.14
Al 0.0000 0.5000 0.0000  4 Al 3.12, 4 Th 3.14, 4 Ga 3.14

***

No. 8
A plane-wave DFT calculation with GGA-PBE was carried out for ThAl2Ga after structural relaxation.

## Properties
E_form: -0.351 eV per atom
M_tot: 0.00 μB per formula unit
Space group: No. 63

a b c (Å): 4.3871 9.1513 8.6958
angles (deg): 90.00 104.61 90.00
Closest atoms and distances in Å follow each position.
Fractional positions:
Th 0.5000 0.5000 0.0000  10 Al 3.29-3.57, 4 Ga 3.30
Th 0.5000 0.0000 0.0000  10 Al 3.29-3.57, 4 Ga 3.30
Th 0.3027 0.7500 0.6054  4 Ga 3.14, 9 Al 3.21-3.45
Th 0.6973 0.2500 0.3946  4 Ga 3.14, 9 Al 3.21-3.45
Al 0.9025 0.2500 0.8050  1 Al 2.57, 2 Ga 2.64
Al 0.9449 0.7500 0.8899  1 Al 2.57, 2 Ga 2.57
Al 0.0975 0.7500 0.1950  1 Al 2.57, 2 Ga 2.64
Al 0.0551 0.2500 0.1101  1 Al 2.57, 2 Ga 2.57
Al 0.6867 0.6084 0.3733  1 Al 2.59, 2 Ga 2.60
Al 0.3133 0.3916 0.6267  1 Al 2.59, 2 Ga 2.60
Al 0.3133 0.1084 0.6267  1 Al 2.59, 2 Ga 2.60
Al 0.6867 0.8916 0.3733  1 Al 2.59, 2 Ga 2.60
Ga 0.1457 0.4759 0.2915  4 Al 2.57-2.64
Ga 0.8543 0.9759 0.7085  4 Al 2.57-2.64
Ga 0.1457 0.0241 0.2915  4 Al 2.57-2.64
Ga 0.8543 0.5241 0.7085  4 Al 2.57-2.64